[1]
# CeZnP2O8

A geometry-optimized CeZnP2O8 structure (PBE, the Alexandria database).

Geometry as extended XYZ:
```
12
Lattice="5.1492 0.0000 0.0000 -2.5746 4.4593 0.0000 0.0000 0.0000 6.7021" Properties=species:S:1:pos:R:3 pbc="T T T"
Ce 0.0000 0.0000 0.0000
Zn 0.0000 0.0000 3.3511
P 0.0000 2.9729 5.2867
P 2.5746 1.4864 1.4154
O 0.0000 1.5010 4.8081
O -1.2747 3.7088 4.8081
O 0.0000 2.9729 0.1254
O 1.2999 0.7505 1.8940
O 1.2747 3.7088 4.8081
O 2.5746 1.4864 6.5767
O 3.8493 0.7505 1.8940
O 2.5746 2.9583 1.8940
```

Calculated total energy in eV/cell: -86.071
Formation energy (no corrections) in meV/atom: -2365

---

[2]
# CeZn2PO2

A geometry-optimized CeZn2PO2 structure (PBE, the Alexandria database).

Geometry as extended XYZ:
```
6
Lattice="3.2249 0.0000 0.0000 0.0000 3.2249 0.0000 0.0000 0.0000 12.2960" Properties=species:S:1:pos:R:3 pbc="T T T"
Ce 0.0000 0.0000 0.0000
Zn 0.0000 0.0000 3.8546
Zn 0.0000 0.0000 8.4414
P 0.0000 0.0000 6.1480
O 0.0000 0.0000 2.0087
O 0.0000 0.0000 10.2873
```

Calculated total energy in eV/cell: -27.473
N(E_F) in states/eV per cell: 3.818
Formation energy (no corrections) in meV/atom: -611

---

[3]
# CeZnPO

A geometry-optimized CeZnPO structure (PBE, the Alexandria database).

Geometry as extended XYZ:
```
8
Lattice="1.9928 1.1506 10.3196 -1.9928 1.1506 10.3196 0.0000 -2.3011 10.3196" Properties=species:S:1:pos:R:3 pbc="T T T"
Ce 0.0000 0.0000 3.6818
Ce 0.0000 0.0000 27.2771
Zn 0.0000 0.0000 9.4089
Zn 0.0000 0.0000 21.5500
P 0.0000 0.0000 11.9613
P 0.0000 0.0000 18.9976
O 0.0000 0.0000 6.0363
O 0.0000 0.0000 24.9226
```

Calculated total energy in eV/cell: -49.635
N(E_F) in states/eV per cell: 9.031
Formation energy (no corrections) in meV/atom: -1810

---

[4]
# CeZr6P9O36

A geometry-optimized CeZr6P9O36 structure (PBE, the Alexandria database).

Geometry as extended XYZ:
```
104
Lattice="8.9471 0.0000 0.0000 -4.4736 7.7484 0.0000 0.0000 0.0000 23.2298" Properties=species:S:1:pos:R:3 pbc="T T T"
Ce 0.0000 0.0000 0.0000
Ce 0.0000 0.0000 11.6149
Zr 0.0000 0.0000 3.4906
Zr 0.0000 0.0000 8.1243
Zr 0.0000 0.0000 15.1055
Zr 0.0000 0.0000 19.7392
Zr 0.0000 5.1656 0.6545
Zr 0.0000 5.1656 7.2554
Zr 0.0000 5.1656 12.2694
Zr 0.0000 5.1656 18.8703
Zr 4.4736 2.5828 4.3595
Zr 4.4736 2.5828 10.9604
Zr 4.4736 2.5828 15.9744
Zr 4.4736 2.5828 22.5753
P -1.3022 2.2554 5.8074
P -3.1714 5.4930 17.4223
P -1.1978 2.9159 21.3819
P -2.5472 5.2532 9.7670
P 2.6044 0.0000 5.8074
P 1.3022 2.2554 17.4223
P 1.1978 2.9159 9.7670
P -1.3494 7.3278 21.3819
P 3.1242 0.4207 13.4628
P 1.9264 2.4953 1.8479
P 2.5472 5.2532 21.3819
P 1.3494 7.3278 9.7670
P 5.8230 0.4207 1.8479
P 3.2758 4.8325 13.4628
P 6.3428 0.0000 17.4223
P 3.1714 5.4930 5.8074
P 7.0207 2.4953 13.4628
P 5.6713 4.8325 1.8479
O -0.6587 1.4236 21.3276
O -3.5700 6.4662 9.7127
O -0.6244 1.5904 4.5710
O -3.4085 6.4125 16.1859
O -1.1106 3.7949 13.3609
O -1.7424 4.8892 1.7460
O -0.7842 3.6480 20.1096
O -1.7064 5.2453 8.4947
O -0.6688 3.6188 6.0526
O -1.6740 5.3599 17.6675
O -0.5668 3.5270 22.6456
O -1.7025 5.4940 11.0307
O 0.6587 1.4236 9.7127
O -2.9114 7.6071 21.3276
O 0.6244 1.5904 16.1859
O -2.7841 7.4940 4.5710
O 1.5622 0.1414 13.5171
O 0.9035 1.2822 1.9022
O 1.6895 0.2544 7.0439
O 1.0651 1.3359 18.6588
O 0.5668 3.5270 11.0307
O -1.1357 6.4758 22.6456
O 0.6688 3.6188 17.6675
O -1.0053 6.5183 6.0526
O 0.7842 3.6480 8.4947
O -0.9222 6.6036 20.1096
O 1.1106 3.7949 1.7460
O -0.6318 6.8129 13.3609
O 3.3379 1.2726 12.1991
O 2.7711 2.2544 0.5842
O 3.4683 1.2302 5.5623
O 2.7995 2.3886 17.1772
O 3.5514 1.1449 14.7351
O 2.7672 2.5032 3.1202
O 3.8418 0.9356 21.4838
O 2.7311 2.8593 9.8689
O 1.7424 4.8892 13.3609
O 0.6318 6.8129 1.7460
O 1.7064 5.2453 20.1096
O 0.9222 6.6036 8.4947
O 1.6740 5.3599 6.0526
O 1.0052 6.5183 17.6675
O 1.7025 5.4940 22.6456
O 1.1357 6.4758 11.0307
O 5.1054 0.9356 9.8689
O 3.3629 3.9536 21.4838
O 5.3957 1.1449 3.1202
O 3.6894 4.1004 14.7351
O 5.4788 1.2302 17.1772
O 3.8048 4.1297 5.5623
O 5.6092 1.2726 0.5842
O 3.9067 4.2214 12.1991
O 3.4085 6.4125 4.5710
O 2.7841 7.4940 16.1859
O 3.5700 6.4662 21.3276
O 2.9114 7.6071 9.7127
O 7.2576 0.2544 18.6588
O 3.8492 6.1581 7.0439
O 7.3850 0.1414 1.9022
O 3.8149 6.3249 13.5171
O 6.1761 2.2544 12.1991
O 5.0404 4.2214 0.5842
O 6.1476 2.3886 5.5623
O 5.1424 4.1297 17.1772
O 6.1799 2.5032 14.7351
O 5.2578 4.1004 3.1202
O 6.2160 2.8593 21.4838
O 5.5842 3.9536 9.8689
O 7.8820 1.3359 7.0439
O 5.0980 6.1581 18.6588
O 8.0436 1.2822 13.5171
O 5.1322 6.3249 1.9022
```

Calculated total energy in eV/cell: -855.255
N(E_F) in states/eV per cell: 9.348
Formation energy (no corrections) in meV/atom: -2754

---

[5]
# CeZrPO

A geometry-optimized CeZrPO structure (PBE, the Alexandria database).

Geometry as extended XYZ:
```
8
Lattice="4.1142 0.0000 0.0000 0.0000 4.1142 0.0000 0.0000 0.0000 8.8460" Properties=species:S:1:pos:R:3 pbc="T T T"
Ce 1.0285 1.0285 1.1591
Ce 3.0856 3.0856 7.6870
Zr 1.0285 3.0856 4.4230
Zr 3.0856 1.0285 4.4230
P 1.0285 1.0285 6.1406
P 3.0856 3.0856 2.7054
O 1.0285 3.0856 0.0000
O 3.0856 1.0285 0.0000
```

Calculated total energy in eV/cell: -65.889
N(E_F) in states/eV per cell: 10.035
Formation energy (no corrections) in meV/atom: -2024

---

[6]
# Ce3PaO7

A geometry-optimized Ce3PaO7 structure (PBE, the Alexandria database).

Geometry as extended XYZ:
```
22
Lattice="3.8970 -5.5564 0.0000 3.8970 5.5564 0.0000 0.0000 0.0000 7.9010" Properties=species:S:1:pos:R:3 pbc="T T T"
Ce 0.0000 0.0000 0.0000
Ce 0.0000 0.0000 3.9505
Ce 2.0382 2.6793 5.9258
Ce 5.7558 2.6793 5.9258
Ce 2.0382 -2.6793 1.9753
Ce 5.7558 -2.6793 1.9753
Pa 3.8970 0.0000 0.0000
Pa 3.8970 0.0000 3.9505
O 3.8970 4.0934 1.9753
O 3.8970 4.0746 5.9258
O 2.2008 1.3777 0.1765
O 2.2008 1.3777 3.7741
O 3.8970 1.0811 5.9258
O 2.2008 -1.3777 4.1270
O 2.2008 -1.3777 7.7246
O 5.5932 1.3777 0.1765
O 5.5932 1.3777 3.7741
O 3.8970 -1.0811 1.9753
O 5.5932 -1.3777 4.1270
O 5.5932 -1.3777 7.7246
O 3.8970 -4.0746 1.9753
O 3.8970 -4.0934 5.9258
```

Calculated total energy in eV/cell: -200.807
N(E_F) in states/eV per cell: 31.190
Formation energy (no corrections) in meV/atom: -3491